Ce3Ge2Cl | GGA-PBE | relaxed

Formation energy (no corrections)   -1.02 eV/atom

Cell and atoms, written as CIF:
```
data_Ce3Ge2Cl
_chemical_formula_sum 'Ce12 Ge8 Cl4'
_symmetry_space_group_name_H-M 'C 1 2/m 1'
_symmetry_Int_Tables_number 12
_cell_length_a 7.327
_cell_length_b 12.682
_cell_length_c 7.206
_cell_angle_alpha 90.00
_cell_angle_beta 109.73
_cell_angle_gamma 90.00
loop_
_symmetry_equiv_pos_as_xyz
'x,y,z'
'-x,-y,-z'
'-x,y,-z'
'x,-y,z'
'x+1/2,y+1/2,z'
'-x+1/2,-y+1/2,-z'
'-x+1/2,y+1/2,-z'
'x+1/2,-y+1/2,z'
loop_
_atom_site_label
_atom_site_type_symbol
_atom_site_fract_x
_atom_site_fract_y
_atom_site_fract_z
_atom_site_occupancy
Ce1 Ce 0.246 0.000 0.245 1
Ce2 Ce 0.250 0.166 0.753 1
Ge1 Ge 0.000 0.000 0.500 1
Ge2 Ge 0.000 0.169 0.000 1
Ge3 Ge 0.000 0.500 0.000 1
Cl1 Cl 0.000 0.334 0.500 1
```


CeGeCl5 | GGA-PBE | relaxed

Formation energy (no corrections)   -1.54 eV/atom

Cell and atoms, written as CIF:
```
data_CeGeCl5
_chemical_formula_sum 'Ce4 Ge4 Cl20'
_symmetry_space_group_name_H-M 'C 1 2/c 1'
_symmetry_Int_Tables_number 15
_cell_length_a 10.612
_cell_length_b 9.612
_cell_length_c 10.596
_cell_angle_alpha 90.00
_cell_angle_beta 115.82
_cell_angle_gamma 90.00
loop_
_symmetry_equiv_pos_as_xyz
'x,y,z'
'-x,-y,-z'
'-x,y,-z+1/2'
'x,-y,z+1/2'
'x+1/2,y+1/2,z'
'-x+1/2,-y+1/2,-z'
'-x+1/2,y+1/2,-z+1/2'
'x+1/2,-y+1/2,z+1/2'
loop_
_atom_site_label
_atom_site_type_symbol
_atom_site_fract_x
_atom_site_fract_y
_atom_site_fract_z
_atom_site_occupancy
Ce1 Ce 0.250 0.250 0.000 1
Ge1 Ge 0.000 0.088 0.250 1
Cl1 Cl 0.000 0.249 0.750 1
Cl2 Cl 0.098 0.269 0.159 1
Cl3 Cl 0.224 0.032 0.492 1
```


Ce2GeCl | GGA-PBE | relaxed

Formation energy (no corrections)   -1.17 eV/atom
Energy above the lowest structure with this stoichiometry   0 meV per atom

Cell and atoms, written as CIF:
```
data_Ce2GeCl
_chemical_formula_sum 'Ce8 Ge4 Cl4'
_symmetry_space_group_name_H-M 'C 1 2/c 1'
_symmetry_Int_Tables_number 15
_cell_length_a 8.320
_cell_length_b 8.320
_cell_length_c 7.234
_cell_angle_alpha 90.00
_cell_angle_beta 125.09
_cell_angle_gamma 90.00
loop_
_symmetry_equiv_pos_as_xyz
'x,y,z'
'-x,-y,-z'
'-x,y,-z+1/2'
'x,-y,z+1/2'
'x+1/2,y+1/2,z'
'-x+1/2,-y+1/2,-z'
'-x+1/2,y+1/2,-z+1/2'
'x+1/2,-y+1/2,z+1/2'
loop_
_atom_site_label
_atom_site_type_symbol
_atom_site_fract_x
_atom_site_fract_y
_atom_site_fract_z
_atom_site_occupancy
Ce1 Ce 0.249 0.125 0.249 1
Ge1 Ge 0.000 0.125 0.750 1
Cl1 Cl 0.000 0.375 0.250 1
```


Ce6GeCl8 | GGA-PBE | relaxed

Formation energy (no corrections)   -1.70 eV/atom

Cell and atoms, written as CIF:
```
data_Ce6GeCl8
_chemical_formula_sum 'Ce18 Ge3 Cl24'
_symmetry_space_group_name_H-M 'R -3'
_symmetry_Int_Tables_number 148
_symmetry_space_group_name_Hall '-R 3'
_cell_length_a 6.9972
_cell_length_b 6.9972
_cell_length_c 30.0765
_cell_angle_alpha 90.00
_cell_angle_beta 90.00
_cell_angle_gamma 120.00
loop_
_atom_site_label
_atom_site_type_symbol
_atom_site_fract_x
_atom_site_fract_y
_atom_site_fract_z
_atom_site_occupancy
Ce1 Ce 0.9999 0.3404 0.0549 1
Ge1 Ge 0.0000 0.0000 0.0000 1
Cl1 Cl 0.0000 0.0000 0.3334 1
Cl2 Cl 0.9998 0.3236 0.8889 1
```


CeGeCl6 | GGA-PBE | relaxed

Formation energy (no corrections)   -1.49 eV/atom
Energy above the lowest structure with this stoichiometry   11 meV per atom

Cell and atoms, written as CIF:
```
data_CeGeCl6
_chemical_formula_sum 'Ce3 Ge3 Cl18'
_symmetry_space_group_name_H-M 'R -3'
_symmetry_Int_Tables_number 148
_symmetry_space_group_name_Hall '-R 3'
_cell_length_a 6.7325
_cell_length_b 6.7325
_cell_length_c 18.2529
_cell_angle_alpha 90.00
_cell_angle_beta 90.00
_cell_angle_gamma 120.00
loop_
_atom_site_label
_atom_site_type_symbol
_atom_site_fract_x
_atom_site_fract_y
_atom_site_fract_z
_atom_site_occupancy
Ce1 Ce 0.0000 0.0000 0.0000 1
Ge1 Ge 0.0000 0.0000 0.5000 1
Cl1 Cl 0.0014 0.3560 0.7504 1
```


Ce5Ge4Cl | GGA-PBE | relaxed

Formation energy (no corrections)   -0.88 eV/atom

Cell and atoms, written as CIF:
```
data_Ce5Ge4Cl
_chemical_formula_sum 'Ce10 Ge8 Cl2'
_symmetry_space_group_name_H-M 'I m m m'
_symmetry_Int_Tables_number 71
_symmetry_space_group_name_Hall '-I 2 2'
_cell_length_a 4.244
_cell_length_b 5.951
_cell_length_c 20.974
_cell_angle_alpha 90.00
_cell_angle_beta 90.00
_cell_angle_gamma 90.00
loop_
_atom_site_label
_atom_site_type_symbol
_atom_site_fract_x
_atom_site_fract_y
_atom_site_fract_z
_atom_site_occupancy
Ce1 Ce 0.000 0.000 0.000 1
Ce2 Ce 0.000 0.000 0.200 1
Ce3 Ce 0.000 0.000 0.399 1
Ge1 Ge 0.000 0.500 0.199 1
Ge2 Ge 0.000 0.500 0.401 1
Cl1 Cl 0.000 0.500 0.000 1
```


Ce2GeCl | GGA-PBE | relaxed

Formation energy (no corrections)   -0.96 eV/atom
Energy above the lowest structure with this stoichiometry   210 meV per atom

Cell and atoms, written as CIF:
```
data_Ce2GeCl
_chemical_formula_sum 'Ce2 Ge1 Cl1'
_symmetry_space_group_name_H-M 'P 4/m m m'
_symmetry_Int_Tables_number 123
_symmetry_space_group_name_Hall '-P 4 2'
_cell_length_a 3.552
_cell_length_b 3.552
_cell_length_c 7.575
_cell_angle_alpha 90.00
_cell_angle_beta 90.00
_cell_angle_gamma 90.00
loop_
_atom_site_label
_atom_site_type_symbol
_atom_site_fract_x
_atom_site_fract_y
_atom_site_fract_z
_atom_site_occupancy
Ce1 Ce 0.000 0.000 0.235 1
Ge1 Ge 0.500 0.500 0.000 1
Cl1 Cl 0.500 0.500 0.500 1
```


Ce5GeCl5 | GGA-PBE | relaxed

Formation energy (no corrections)   -1.47 eV/atom

Cell and atoms, written as CIF:
```
data_Ce5GeCl5
_chemical_formula_sum 'Ce10 Ge2 Cl10'
_symmetry_space_group_name_H-M 'C 1 2/m 1'
_symmetry_Int_Tables_number 12
_cell_length_a 12.840
_cell_length_b 5.743
_cell_length_c 8.027
_cell_angle_alpha 90.00
_cell_angle_beta 107.76
_cell_angle_gamma 90.00
loop_
_symmetry_equiv_pos_as_xyz
'x,y,z'
'-x,-y,-z'
'-x,y,-z'
'x,-y,z'
'x+1/2,y+1/2,z'
'-x+1/2,-y+1/2,-z'
'-x+1/2,y+1/2,-z'
'x+1/2,-y+1/2,z'
loop_
_atom_site_label
_atom_site_type_symbol
_atom_site_fract_x
_atom_site_fract_y
_atom_site_fract_z
_atom_site_occupancy
Ce1 Ce 0.000 0.000 0.000 1
Ce2 Ce 0.168 0.500 0.335 1
Ce3 Ce 0.177 0.500 0.840 1
Ge1 Ge 0.000 0.500 0.000 1
Cl1 Cl 0.000 0.500 0.500 1
Cl2 Cl 0.151 0.000 0.344 1
Cl3 Cl 0.157 0.000 0.814 1
```


Ce2GeCl | GGA-PBE | relaxed

Formation energy (no corrections)   -0.97 eV/atom
Energy above the lowest structure with this stoichiometry   200 meV per atom

Cell and atoms, written as CIF:
```
data_Ce2GeCl
_chemical_formula_sum 'Ce8 Ge4 Cl4'
_symmetry_space_group_name_H-M 'F m -3 m'
_symmetry_Int_Tables_number 225
_symmetry_space_group_name_Hall '-F 4 2 3'
_cell_length_a 7.233
_cell_length_b 7.233
_cell_length_c 7.233
_cell_angle_alpha 90.00
_cell_angle_beta 90.00
_cell_angle_gamma 90.00
loop_
_atom_site_label
_atom_site_type_symbol
_atom_site_fract_x
_atom_site_fract_y
_atom_site_fract_z
_atom_site_occupancy
Ce1 Ce 0.250 0.250 0.250 1
Ge1 Ge 0.000 0.000 0.000 1
Cl1 Cl 0.000 0.000 0.500 1
```


Ce2GeCl8 | GGA-PBE | relaxed

Formation energy (no corrections)   -1.81 eV/atom

Cell and atoms, written as CIF:
```
data_Ce2GeCl8
_chemical_formula_sum 'Ce4 Ge2 Cl16'
_symmetry_space_group_name_H-M 'C 1 2/m 1'
_symmetry_Int_Tables_number 12
_cell_length_a 21.263
_cell_length_b 4.022
_cell_length_c 7.805
_cell_angle_alpha 90.00
_cell_angle_beta 98.30
_cell_angle_gamma 90.00
loop_
_symmetry_equiv_pos_as_xyz
'x,y,z'
'-x,-y,-z'
'-x,y,-z'
'x,-y,z'
'x+1/2,y+1/2,z'
'-x+1/2,-y+1/2,-z'
'-x+1/2,y+1/2,-z'
'x+1/2,-y+1/2,z'
loop_
_atom_site_label
_atom_site_type_symbol
_atom_site_fract_x
_atom_site_fract_y
_atom_site_fract_z
_atom_site_occupancy
Ce1 Ce 0.157 0.000 0.331 1
Ge1 Ge 0.000 0.500 0.000 1
Cl1 Cl 0.016 0.000 0.232 1
Cl2 Cl 0.113 0.500 0.523 1
Cl3 Cl 0.128 0.500 0.056 1
Cl4 Cl 0.244 0.000 0.673 1
```


Ce2GeCl | GGA-PBE | relaxed

Formation energy (no corrections)   -1.05 eV/atom
Energy above the lowest structure with this stoichiometry   115 meV per atom

Cell and atoms, written as CIF:
```
data_Ce2GeCl
_chemical_formula_sum 'Ce6 Ge3 Cl3'
_symmetry_space_group_name_H-M 'R 3 m'
_symmetry_Int_Tables_number 160
_symmetry_space_group_name_Hall 'R 3 -2"'
_cell_length_a 4.1190
_cell_length_b 4.1190
_cell_length_c 22.0304
_cell_angle_alpha 90.00
_cell_angle_beta 90.00
_cell_angle_gamma 120.00
loop_
_atom_site_label
_atom_site_type_symbol
_atom_site_fract_x
_atom_site_fract_y
_atom_site_fract_z
_atom_site_occupancy
Ce1 Ce 0.0000 0.0000 0.0000 1
Ce2 Ce 0.0000 0.0000 0.1810 1
Ge1 Ge 0.0000 0.0000 0.5894 1
Cl1 Cl 0.0000 0.0000 0.7605 1
```


| no. | magnetization (μB per formula unit) |
| --- | --- |
| 1 | 2.028 |
| 2 | 1.000 |
| 3 | 1.708 |
| 4 | 5.711 |
| 5 | 0.000 |
| 6 | 2.303 |
| 7 | 3.057 |
| 8 | 3.671 |
| 9 | 2.417 |
| 10 | 2.000 |
| 11 | 2.098 |